Material: FeHg2Mo
Method: DFT, PBE
State: optimized geometry

Computed properties:
Total energy: -16.29 eV/cell
Relative energy among the computed polymorphs: 207 kJ/mol of formula units
DOS at the Fermi energy: 6.2 states/eV/f.u.
V: 16.8 Å³/atom
Energy relative to the elements: 3.61 eV/f.u.
Space group: Fm-3m (225)

Lattice parameters (Å, degrees): 4.5674 4.5674 4.5674 60.00 60.00 60.00
Positions (direct):
Fe1 0.0000 0.0000 0.0000
Hg1 0.7500 0.7500 0.7500
Hg2 0.2500 0.2500 0.2500
Mo1 0.5000 0.5000 0.5000

Material: FeHg2Mo
Method: DFT, PBE
State: optimized geometry

Computed properties:
Total energy: -16.86 eV/cell
Relative energy among the computed polymorphs: 152 kJ/mol of formula units
DOS at the Fermi energy: 4.1 states/eV/f.u.
V: 17.8 Å³/atom
Energy relative to the elements: 3.04 eV/f.u.
Space group: F-43m (216)

Lattice parameters (Å, degrees): 4.6492 4.6492 4.6492 60.00 60.00 60.00
Positions (direct):
Hg1 0.0000 0.0000 0.0000
Hg2 0.2500 0.2500 0.2500
Mo1 0.7500 0.7500 0.7500
Fe1 0.5000 0.5000 0.5000

Material: FeHgMo2
Method: DFT, PBE
State: optimized geometry

Computed properties:
Total energy: -28.52 eV/cell
DOS at the Fermi energy: 3.1 states/eV/f.u.
V: 16.2 Å³/atom
Energy relative to the elements: 1.91 eV/f.u.
Space group: Imm2 (44)

Lattice parameters (Å, degrees): 5.1181 5.1181 5.1181 141.91 127.45 66.73
Positions (direct):
Mo1 0.7485 0.2485 0.5000
Mo2 0.9806 0.9806 0.0000
Hg1 0.2577 0.7577 0.5000
Fe1 0.5132 0.5132 0.0000

Material: FeHgMo2
Method: DFT, PBE
State: optimized geometry

Computed properties:
Total energy: -28.44 eV/cell
DOS at the Fermi energy: 4.5 states/eV/f.u.
V: 16.0 Å³/atom
Energy relative to the elements: 1.98 eV/f.u.
Space group: R-3m (166)

Lattice parameters (Å, degrees): 9.4242 9.4242 9.4242 17.20 17.20 17.20
Positions (direct):
Mo1 0.9901 0.9901 0.9901
Mo2 0.5099 0.5099 0.5099
Fe1 0.2500 0.2500 0.2500
Hg1 0.7500 0.7500 0.7500

Material: FeHgMo2
Method: DFT, PBE
State: optimized geometry

Computed properties:
Total energy: -54.93 eV/cell
DOS at the Fermi energy: 1.7 states/eV/f.u.
V: 16.9 Å³/atom
Energy relative to the elements: 2.96 eV/f.u.
Space group: I-42d (122)

Lattice parameters (Å, degrees): 7.1811 7.1811 5.7152 51.08 51.08 90.00
Positions (direct):
Mo1 0.5611 0.1250 0.2500
Mo2 0.1889 0.6250 0.2500
Mo3 0.8750 0.8111 0.7500
Mo4 0.3750 0.4389 0.7500
Fe1 0.5000 0.5000 0.0000
Fe2 0.2500 0.7500 0.5000
Hg1 0.7500 0.2500 0.5000
Hg2 0.0000 0.0000 0.0000

Material: FeHg2Mo
Method: DFT, PBE
State: optimized geometry

Computed properties:
Total energy: -17.44 eV/cell
Relative energy among the computed polymorphs: 97 kJ/mol of formula units
DOS at the Fermi energy: 2.9 states/eV/f.u.
V: 17.7 Å³/atom
Energy relative to the elements: 2.46 eV/f.u.
Space group: R-3m (166)

Lattice parameters (Å, degrees): 9.5370 9.5370 9.5370 17.81 17.81 17.81
Positions (direct):
Mo1 0.2500 0.2500 0.2500
Hg1 0.0029 0.0029 0.0029
Hg2 0.4971 0.4971 0.4971
Fe1 0.7500 0.7500 0.7500

Material: FeHg2Mo
Method: DFT, PBE
State: optimized geometry

Computed properties:
Total energy: -17.14 eV/cell
Relative energy among the computed polymorphs: 126 kJ/mol of formula units
DOS at the Fermi energy: 4.6 states/eV/f.u.
V: 17.6 Å³/atom
Energy relative to the elements: 2.76 eV/f.u.
Space group: I4/mmm (139)

Lattice parameters (Å, degrees): 5.0847 5.0847 5.0847 132.39 132.39 69.61
Positions (direct):
Hg1 0.5000 0.5000 0.0000
Hg2 0.0000 0.0000 0.0000
Fe1 0.7500 0.2500 0.5000
Mo1 0.2500 0.7500 0.5000

Material: FeHg2Mo
Method: DFT, PBE
State: optimized geometry

Computed properties:
Total energy: -17.37 eV/cell
Relative energy among the computed polymorphs: 103 kJ/mol of formula units
DOS at the Fermi energy: 2.7 states/eV/f.u.
V: 17.5 Å³/atom
Energy relative to the elements: 2.53 eV/f.u.
Space group: P2/m (10)

Lattice parameters (Å, degrees): 4.2112 2.8498 6.4612 64.53 90.00 90.00
Positions (direct):
Fe1 0.5000 0.7500 0.7500
Mo1 0.5000 0.2500 0.2500
Hg1 0.0000 0.4995 0.5044
Hg2 0.0000 0.0005 0.9956

We obtain total magnetization values of 0.01 0.94 2.66 0.93 0.00 2.60 3.35 2.91 μB/f.u. for the records listed above, in that order.